[1]
Computed, not measured: a geometry-optimized AcNdEr2 structure at the PBE-GGA level of DFT.

Total moment = 0.0 μB/cell
DOS(E_F) = 4.3 states/eV/f.u.
ΔH_f (0 K) = 1.127 kcal/mol of atoms
Space-group type = R-3m
ρ = 8.426 g/cm3

a b c (Å): 3.7032 3.7032 11.9045
angles (deg): 81.05 81.05 60.00
Last column: nearest neighbours and their distance in Å.
Sites, in units of the cell vectors:
Ac1 0.5000 0.5000 0.5000  6 Er 3.68, 6 Ac 3.70
Nd1 0.0000 0.0000 0.0000  6 Er 3.57, 6 Nd 3.70
Er1 0.7480 0.7480 0.7561  3 Nd 3.57, 3 Ac 3.68, 6 Er 3.70
Er2 0.2520 0.2520 0.2439  3 Nd 3.57, 3 Ac 3.68, 6 Er 3.70

---

[2]
Computed, not measured: a geometry-optimized YPu2ReC4 structure at the PBE-GGA level of DFT.

Total moment = 18.5 μB/cell
DOS(E_F) = 12.7 states/eV/f.u.
ΔH_f (0 K) = 1.337 kcal/mol of atoms
Space-group type = Cmcm
ρ = 10.793 g/cm3

a b c (Å): 3.4671 6.0714 12.3725
angles (deg): 90.00 90.00 106.59
Last column: nearest neighbours and their distance in Å.
Sites, in units of the cell vectors:
Y1 0.1076 0.2151 0.7500  6 C 2.64-2.75
Y2 0.8924 0.7849 0.2500  6 C 2.64-2.75
Pu1 0.3682 0.7365 0.5369  5 C 2.36-2.56
Pu2 0.6318 0.2635 0.0369  5 C 2.36-2.56
Pu3 0.6318 0.2635 0.4631  5 C 2.36-2.56
Pu4 0.3682 0.7365 0.9631  5 C 2.36-2.56
Re1 0.8431 0.6862 0.7500  4 C 1.92-2.04
Re2 0.1569 0.3138 0.2500  4 C 1.92-2.04
C1 0.2607 0.5213 0.1294  1 Re 1.92
C2 0.7393 0.4787 0.6294  1 Re 1.92
C3 0.7393 0.4787 0.8706  1 Re 1.92
C4 0.2607 0.5213 0.3706  1 Re 1.92
C5 0.0000 0.0000 0.5000  4 Pu 2.36
C6 0.0000 0.0000 0.0000  4 Pu 2.36
C7 0.4360 0.8719 0.7500  2 Re 2.04
C8 0.5640 0.1281 0.2500  2 Re 2.04

---

[3]
Computed, not measured: a geometry-optimized SrLi2Mg3 structure at the PBE-GGA level of DFT.

Total moment = 0.0 μB/cell
DOS(E_F) = 3.8 states/eV/f.u.
ΔH_f (0 K) = -0.085 kcal/mol of atoms
Space-group type = Cmcm
ρ = 1.782 g/cm3

a b c (Å): 5.9570 7.4219 7.4219
angles (deg): 97.80 90.00 90.00
Last column: nearest neighbours and their distance in Å.
Sites, in units of the cell vectors:
Sr1 0.2500 0.3382 0.3382  7 Mg 3.66-3.70, 4 Li 3.75
Sr2 0.7500 0.6618 0.6618  7 Mg 3.66-3.70, 4 Li 3.75
Li1 0.5000 0.7734 0.2266  6 Mg 2.89-3.03, 2 Li 2.98
Li2 0.0000 0.7734 0.2266  6 Mg 2.89-3.03, 2 Li 2.98
Li3 0.0000 0.2266 0.7734  6 Mg 2.89-3.03, 2 Li 2.98
Li4 0.5000 0.2266 0.7734  6 Mg 2.89-3.03, 2 Li 2.98
Mg1 0.7500 0.4519 0.0813  4 Li 2.89-3.03, 1 Mg 3.06
Mg2 0.7500 0.0813 0.4519  4 Li 2.89-3.03, 1 Mg 3.06
Mg3 0.2500 0.5481 0.9187  4 Li 2.89-3.03, 1 Mg 3.06
Mg4 0.7500 0.0366 0.0366  4 Li 2.96, 4 Mg 3.06
Mg5 0.2500 0.9634 0.9634  4 Li 2.96, 4 Mg 3.06
Mg6 0.2500 0.9187 0.5481  4 Li 2.89-3.03, 1 Mg 3.06

---

[4]
Computed, not measured: a geometry-optimized NbFePd4 structure at the PBE-GGA level of DFT.

Total moment = 4.5 μB/cell
DOS(E_F) = 5.0 states/eV/f.u.
ΔH_f (0 K) = -5.866 kcal/mol of atoms
Space-group type = Cmmm
ρ = 10.473 g/cm3

a b c (Å): 3.9430 6.1883 8.3224
angles (deg): 63.77 90.00 90.00
Last column: nearest neighbours and their distance in Å.
Sites, in units of the cell vectors:
Nb1 0.4997 0.2500 0.7500  8 Pd 2.71-2.74, 4 Fe 2.79
Nb2 0.5003 0.7500 0.2500  8 Pd 2.71-2.74, 4 Fe 2.79
Fe1 0.0000 0.5000 0.5000  8 Pd 2.71-2.73, 4 Nb 2.79
Fe2 0.0000 0.0000 0.0000  8 Pd 2.71-2.73, 4 Nb 2.79
Pd1 0.5000 0.7375 0.5792  2 Nb 2.71, 2 Fe 2.71, 8 Pd 2.79-2.92
Pd2 0.5000 0.7625 0.9208  2 Nb 2.71, 2 Fe 2.71, 8 Pd 2.79-2.92
Pd3 0.0001 0.9925 0.3309  2 Fe 2.73, 2 Nb 2.74, 8 Pd 2.79-2.89
Pd4 0.0001 0.5075 0.1691  2 Fe 2.73, 2 Nb 2.74, 8 Pd 2.79-2.89
Pd5 0.9999 0.0075 0.6691  2 Fe 2.73, 2 Nb 2.74, 8 Pd 2.79-2.89
Pd6 0.9999 0.4925 0.8309  2 Fe 2.73, 2 Nb 2.74, 8 Pd 2.79-2.89
Pd7 0.5000 0.2375 0.0792  2 Nb 2.71, 2 Fe 2.71, 8 Pd 2.79-2.92
Pd8 0.5000 0.2625 0.4208  2 Nb 2.71, 2 Fe 2.71, 8 Pd 2.79-2.92

---

[5]
Computed, not measured: a geometry-optimized HoGeRu structure at the PBE-GGA level of DFT.

Total moment = 0.0 μB/cell
DOS(E_F) = 1.3 states/eV/f.u.
ΔH_f (0 K) = -17.396 kcal/mol of atoms
Space-group type = I4/mmm
ρ = 9.438 g/cm3

a b c (Å): 4.2140 4.2140 7.3422
angles (deg): 106.68 106.68 90.00
Last column: nearest neighbours and their distance in Å.
Sites, in units of the cell vectors:
Ho1 0.3529 0.3529 0.7058  4 Ru 2.89, 5 Ge 3.01-3.21
Ho2 0.6471 0.6471 0.2942  4 Ru 2.89, 5 Ge 3.01-3.21
Ge1 0.8861 0.8861 0.7723  4 Ru 2.60
Ge2 0.1139 0.1139 0.2277  4 Ru 2.60
Ru1 0.5000 0.0000 0.0000  4 Ge 2.60, 4 Ho 2.89
Ru2 0.0000 0.5000 0.0000  4 Ge 2.60, 4 Ho 2.89

---

[6]
Computed, not measured: a geometry-optimized NbV5Si2 structure at the PBE-GGA level of DFT.

Total moment = 0.0 μB/cell
DOS(E_F) = 5.2 states/eV/f.u.
Space-group type = Immm
Uncorrected formation energy = -0.311 eV/atom
ρ = 5.843 g/cm3

a b c (Å): 3.2199 6.2335 6.2335
angles (deg): 76.15 75.03 75.03
Last column: nearest neighbours and their distance in Å.
Sites, in units of the cell vectors:
Nb1 0.0000 0.0000 0.0000  4 Si 2.64
V1 0.0000 0.5000 0.5000  2 Si 2.55, 8 V 2.58
V2 0.6502 0.5401 0.1595  3 Si 2.46-2.48, 4 V 2.58-2.62
V3 0.3498 0.4599 0.8405  3 Si 2.46-2.48, 4 V 2.58-2.62
V4 0.3498 0.8405 0.4599  3 Si 2.46-2.48, 4 V 2.58-2.62
V5 0.6502 0.1595 0.5401  3 Si 2.46-2.48, 4 V 2.58-2.62
Si1 0.7251 0.7749 0.7749  7 V 2.46-2.55, 2 Nb 2.64
Si2 0.2749 0.2251 0.2251  7 V 2.46-2.55, 2 Nb 2.64

---

[7]
Computed, not measured: a geometry-optimized HfZr6Sc structure at the PBE-GGA level of DFT.

Total moment = 0.0 μB/cell
DOS(E_F) = 6.5 states/eV/f.u.
ΔH_f (0 K) = -0.455 kcal/mol of atoms
Space-group type = P-6m2
ρ = 6.872 g/cm3

a b c (Å): 5.1376 6.4694 6.4694
angles (deg): 119.99 90.00 90.00
Last column: nearest neighbours and their distance in Å.
Sites, in units of the cell vectors:
Hf1 0.0000 0.0833 0.9166  12 Zr 3.17-3.24
Zr1 0.0000 0.0814 0.4156  8 Zr 3.18-3.25, 2 Sc 3.18, 2 Hf 3.23
Zr2 0.0000 0.5844 0.9186  8 Zr 3.18-3.25, 2 Sc 3.18, 2 Hf 3.23
Zr3 0.0000 0.5844 0.4156  8 Zr 3.18-3.25, 2 Sc 3.18, 2 Hf 3.24
Zr4 0.5000 0.4139 0.0821  2 Hf 3.17, 8 Zr 3.18-3.26, 2 Sc 3.23
Zr5 0.5000 0.9179 0.5861  2 Hf 3.17, 8 Zr 3.18-3.26, 2 Sc 3.23
Zr6 0.5000 0.9179 0.0821  2 Hf 3.17, 8 Zr 3.18-3.26, 2 Sc 3.24
Sc1 0.5000 0.4165 0.5835  12 Zr 3.18-3.24

---

[8]
Computed, not measured: a geometry-optimized SrAcZnRh structure at the PBE-GGA level of DFT.

Total moment = 0.0 μB/cell
DOS(E_F) = 2.0 states/eV/f.u.
ΔH_f (0 K) = -9.953 kcal/mol of atoms
Space-group type = Cm
ρ = 6.102 g/cm3

a b c (Å): 4.4058 4.4058 8.2176
angles (deg): 90.06 105.51 119.96
Last column: nearest neighbours and their distance in Å.
Sites, in units of the cell vectors:
Sr1 0.3498 0.0401 0.3898  3 Zn 3.22, 3 Rh 3.44
Ac1 0.0074 0.8681 0.8755  3 Rh 3.06-3.07, 3 Zn 3.26
Zn1 0.5152 0.6221 0.1373  3 Rh 2.57
Rh1 0.8198 0.2742 0.0940  3 Zn 2.57

---

[9]
Computed, not measured: a geometry-optimized RbMnAg2 structure at the PBE-GGA level of DFT.

Total moment = 4.8 μB/cell
DOS(E_F) = 2.8 states/eV/f.u.
ΔH_f (0 K) = 16.001 kcal/mol of atoms
Space-group type = Fm-3m
ρ = 5.697 g/cm3

a b c (Å): 5.2752 5.2752 5.2752
angles (deg): 60.00 60.00 60.00
Last column: nearest neighbours and their distance in Å.
Sites, in units of the cell vectors:
Mn1 0.0000 0.0000 0.0000  8 Ag 3.23
Rb1 0.5000 0.5000 0.5000  8 Ag 3.23
Ag1 0.2500 0.2500 0.2500  4 Mn 3.23, 4 Rb 3.23
Ag2 0.7500 0.7500 0.7500  4 Mn 3.23, 4 Rb 3.23

---

[10]
Computed, not measured: a geometry-optimized Y6CdAg5 structure at the PBE-GGA level of DFT.

Total moment = 0.0 μB/cell
DOS(E_F) = 7.6 states/eV/f.u.
ΔH_f (0 K) = -7.626 kcal/mol of atoms
Space-group type = Cmmm
ρ = 6.682 g/cm3

a b c (Å): 5.1911 7.2967 8.1974
angles (deg): 90.00 71.54 90.00
Last column: nearest neighbours and their distance in Å.
Sites, in units of the cell vectors:
Y1 0.8311 0.7481 0.3379  7 Ag 3.14-3.21, 1 Cd 3.21
Y2 0.8311 0.2519 0.3379  7 Ag 3.14-3.21, 1 Cd 3.21
Y3 0.5000 0.2557 0.0000  6 Ag 3.14-3.15, 2 Cd 3.20
Y4 0.5000 0.7443 0.0000  6 Ag 3.14-3.15, 2 Cd 3.20
Y5 0.1689 0.7481 0.6621  7 Ag 3.14-3.21, 1 Cd 3.21
Y6 0.1689 0.2519 0.6621  7 Ag 3.14-3.21, 1 Cd 3.21
Ag1 0.6661 0.5000 0.6677  8 Y 3.14-3.16
Ag2 0.3378 0.0000 0.3245  8 Y 3.14-3.21
Ag3 0.0000 0.5000 0.0000  8 Y 3.15-3.19
Ag4 0.6622 0.0000 0.6755  8 Y 3.14-3.21
Ag5 0.3339 0.5000 0.3323  8 Y 3.14-3.16
Cd1 0.0000 0.0000 0.0000  8 Y 3.20-3.21

---

[11]
Computed, not measured: a geometry-optimized Dy6GaHg2 structure at the PBE-GGA level of DFT.

Total moment = 0.0 μB/cell
DOS(E_F) = 11.2 states/eV/f.u.
ΔH_f (0 K) = -3.561 kcal/mol of atoms
Space-group type = Immm
ρ = 8.807 g/cm3

a b c (Å): 5.0315 7.1472 8.7503
angles (deg): 114.10 106.71 90.00
Last column: nearest neighbours and their distance in Å.
Sites, in units of the cell vectors:
Dy1 0.1641 0.4107 0.3283  1 Ga 3.05, 3 Hg 3.10-3.11
Dy2 0.8359 0.0824 0.6717  1 Ga 3.05, 3 Hg 3.10-3.11
Dy3 0.8359 0.5893 0.6717  1 Ga 3.05, 3 Hg 3.10-3.11
Dy4 0.5000 0.2445 0.0000  2 Ga 3.06, 2 Hg 3.12
Dy5 0.1641 0.9176 0.3283  1 Ga 3.05, 3 Hg 3.10-3.11
Dy6 0.5000 0.7555 0.0000  2 Ga 3.06, 2 Hg 3.12
Ga1 0.0000 0.0000 0.0000  8 Dy 3.05-3.06
Hg1 0.6664 0.6666 0.3331  8 Dy 3.10-3.12
Hg2 0.3336 0.3334 0.6669  8 Dy 3.10-3.12

---

no.,DFT total energy (eV/f.u.)
1,-17.8
2,-84.0
3,-10.3
4,-40.8
5,-20.7
6,-69.0
7,-67.7
8,-16.1
9,-13.1
10,-57.9
11,-32.6